No. 1
Density functional theory data (PBE) for a relaxed Sm2Dy3In2 crystal.

```
Sm2Dy3In2
1.0
-3.3958 3.6395 2.1727
0.3840 -4.9718 2.1401
6.7727 4.6746 2.7549
Dy Sm In
3 2 2
Direct
0.5000 0.0000 0.0000
0.6530 0.3061 0.4589
0.3470 0.6939 0.5411
0.0769 0.1539 0.7308
0.9231 0.8461 0.2692
0.7830 0.5659 0.8491
0.2170 0.4341 0.1509
```

Results
Calculated formation energy   -274 meV per atom
V   29.5 Å³ per atom
Fermi-level density of states   5.725 states/eV/cell
Energy above the lowest structure with this stoichiometry   0.000 eV/atom

---

No. 2
Density functional theory data (PBE) for a relaxed SmDy6In5 crystal.

```
SmDy6In5
1.0
-1.3030 4.8139 0.1726
-1.7721 -0.1714 -8.5950
-5.5874 -4.3039 5.7197
In Dy Sm
5 6 1
Direct
0.3471 0.8471 0.6942
0.0000 0.5000 0.0000
0.3225 0.3225 0.6449
0.6529 0.1529 0.3058
0.6775 0.6775 0.3551
0.8300 0.5664 0.6600
0.5000 0.7272 0.0000
0.1700 0.9064 0.3400
0.1700 0.4336 0.3400
0.5000 0.2728 0.0000
0.8300 0.0936 0.6600
0.0000 0.0000 0.0000
```

Results
Calculated formation energy   -382 meV per atom
V   27.6 Å³ per atom
Fermi-level density of states   12.031 states/eV/cell

---

No. 3
Density functional theory data (PBE) for a relaxed SmDy8In5 crystal.

```
SmDy8In5
1.0
-2.5711 -5.3588 5.5545
-2.9733 -2.0893 -7.2783
8.1271 0.0207 -0.3601
Dy In Sm
8 5 1
Direct
0.6382 0.9156 0.8675
0.7507 0.2344 0.3538
0.1194 0.7656 0.5163
0.1325 0.7707 0.0481
0.9519 0.0844 0.7226
0.4837 0.6031 0.2493
0.6462 0.3969 0.8806
0.2774 0.2293 0.3618
0.5000 0.0000 0.5000
0.0214 0.3865 0.1445
0.3650 0.1230 0.9786
0.7580 0.6135 0.6350
0.8555 0.8770 0.2420
0.2500 0.5000 0.7500
```

Results
Calculated formation energy   -200 meV per atom
V   29.6 Å³ per atom
Fermi-level density of states   14.564 states/eV/cell

---

No. 4
Density functional theory data (PBE) for a relaxed SmDy2In crystal.

```
SmDy2In
1.0
-0.0302 -0.1975 -3.5944
-1.1699 -3.3988 0.1966
-8.7234 2.9972 -0.0915
Dy Sm In
2 1 1
Direct
0.0000 0.0000 0.2241
0.0000 0.0000 0.7759
0.5000 0.5000 0.5000
0.5000 0.5000 0.0000
```

Results
Calculated formation energy   -236 meV per atom
V   29.9 Å³ per atom
Fermi-level density of states   3.829 states/eV/cell
Energy above the lowest structure with this stoichiometry   0.031 eV/atom

---

No. 5
Density functional theory data (PBE) for a relaxed Sm8Dy2In crystal.

```
Sm8Dy2In
1.0
-2.2946 4.3987 0.7608
-6.3755 -2.6145 -4.1134
-0.4062 -4.5090 8.2881
In Dy Sm
1 2 8
Direct
0.5000 0.0000 0.0000
0.2242 0.6340 0.4484
0.7758 0.3660 0.5516
0.1358 0.1784 0.2716
0.4098 0.5571 0.8196
0.8642 0.8216 0.7284
0.9553 0.2734 0.9105
0.6796 0.9088 0.3592
0.5902 0.4429 0.1804
0.0447 0.7266 0.0895
0.3204 0.0912 0.6408
```

Results
Calculated formation energy   -66 meV per atom
V   32.1 Å³ per atom
Fermi-level density of states   14.653 states/eV/cell
Energy above the lowest structure with this stoichiometry   0.000 eV/atom

---

No. 6
Density functional theory data (PBE) for a relaxed SmDy4In crystal.

```
SmDy4In
1.0
-1.2937 -4.2532 3.0727
7.9827 2.7505 7.1680
-3.3382 5.5859 1.5742
Dy In Sm
8 2 2
Direct
0.8210 0.4463 0.6420
0.6776 0.1624 0.3552
0.3224 0.6624 0.6448
0.0021 0.1994 0.0043
0.9979 0.6994 0.9957
0.5207 0.4442 0.0413
0.1790 0.9463 0.3580
0.4793 0.9442 0.9587
0.8518 0.9512 0.7035
0.1482 0.4512 0.2965
0.6802 0.7299 0.3604
0.3198 0.2299 0.6396
```

Results
Calculated formation energy   -129 meV per atom
V   30.6 Å³ per atom
Fermi-level density of states   13.056 states/eV/cell
Energy above the lowest structure with this stoichiometry   0.020 eV/atom

---

No. 7
Density functional theory data (PBE) for a relaxed SmDy5In4 crystal.

```
SmDy5In4
1.0
3.5573 0.0000 0.0000
0.0000 3.5573 0.0000
0.0000 0.0000 21.9428
Dy In Sm
5 4 1
Direct
0.5000 0.5000 0.3080
0.5000 0.5000 0.1176
0.5000 0.5000 0.8824
0.5000 0.5000 0.6920
0.5000 0.5000 0.5000
0.0000 0.0000 0.5959
0.0000 0.0000 0.4041
0.0000 0.0000 0.7878
0.0000 0.0000 0.2122
0.0000 0.0000 0.0000
```

Results
Calculated formation energy   -375 meV per atom
V   27.8 Å³ per atom
Fermi-level density of states   7.522 states/eV/cell

---

No. 8
Density functional theory data (PBE) for a relaxed SmDyIn crystal.

```
SmDyIn
1.0
3.5827 0.0000 0.0000
0.0000 3.5827 0.0000
-1.7913 -1.7913 6.9257
Dy In Sm
1 1 1
Direct
0.2967 0.2967 0.5933
0.9473 0.9473 0.8947
0.6060 0.6060 0.2120
```

Results
Calculated formation energy   -303 meV per atom
V   29.6 Å³ per atom
Fermi-level density of states   2.965 states/eV/cell
Energy above the lowest structure with this stoichiometry   0.000 eV/atom

---

No. 9
Density functional theory data (PBE) for a relaxed SmDy5In crystal.

```
SmDy5In
1.0
10.9506 0.0000 0.0000
0.0000 6.4784 0.0000
-5.4753 -3.2392 3.1363
Dy In Sm
5 1 1
Direct
0.3554 0.7665 0.0000
0.3554 0.2335 0.0000
0.8335 0.7564 0.5129
0.1033 0.5000 0.0000
0.3206 0.2436 0.4871
0.8286 0.5000 0.0000
0.7338 0.0000 0.0000
```

Results
Calculated formation energy   92 meV per atom
V   31.8 Å³ per atom
Fermi-level density of states   9.232 states/eV/cell

---

No. 10
Density functional theory data (PBE) for a relaxed Sm5Dy2In2 crystal.

```
Sm5Dy2In2
1.0
-1.2754 -0.5335 -10.5243
6.5533 0.1301 -0.8008
-2.4327 -7.8329 6.0449
Sm Dy In
10 4 4
Direct
0.8657 0.4389 0.5000
0.6562 0.6849 0.6988
0.5426 0.1849 0.6988
0.3438 0.9861 0.3012
0.7993 0.2498 0.1121
0.1343 0.9389 0.5000
0.4574 0.4861 0.3012
0.2007 0.1377 0.8879
0.1872 0.6377 0.8879
0.8128 0.7498 0.1121
0.7673 0.9342 0.5000
0.2327 0.4342 0.5000
0.5000 0.4972 0.0000
0.0000 0.9972 0.0000
0.4402 0.8660 0.8249
0.1153 0.5411 0.1751
0.5598 0.0411 0.1751
0.8847 0.3660 0.8249
```

Results
Calculated formation energy   -54 meV per atom
V   31.3 Å³ per atom
Fermi-level density of states   22.015 states/eV/cell

---

No. 11
Density functional theory data (PBE) for a relaxed Sm2DyIn2 crystal.

```
Sm2DyIn2
1.0
4.9808 0.0000 0.0000
2.4904 5.4990 -0.2199
2.4904 1.2607 5.3571
In Sm Dy
2 2 1
Direct
0.5000 0.7111 0.2889
0.5000 0.2889 0.7111
0.8064 0.6936 0.6936
0.1936 0.3064 0.3064
0.0000 0.0000 0.0000
```

Results
Calculated formation energy   -373 meV per atom
V   29.6 Å³ per atom
Fermi-level density of states   5.259 states/eV/cell
Energy above the lowest structure with this stoichiometry   0.007 eV/atom

---

No. 12
Density functional theory data (PBE) for a relaxed Sm5Dy4In crystal.

```
Sm5Dy4In
1.0
-3.1419 -0.3079 5.0011
2.5072 -6.0601 4.6989
3.3090 4.4625 5.8505
Dy Sm In
4 5 1
Direct
0.4594 0.6833 0.3166
0.7761 0.6834 0.6833
0.4594 0.3167 0.6834
0.1428 0.3166 0.3167
0.7657 0.3740 0.0000
0.1397 0.6260 0.0000
0.1398 0.0000 0.6260
0.7657 0.0000 0.3740
0.6710 0.0000 0.0000
0.1906 0.0000 0.0000
```

Results
Calculated formation energy   134 meV per atom
V   33.3 Å³ per atom
Fermi-level density of states   13.414 states/eV/cell
Energy above the lowest structure with this stoichiometry   0.130 eV/atom